# 1
A geometry-optimized Be2HgW structure. Source: Alexandria, functional GGA-PBE.

Output
space group: C2/m, No. 12
electronic total energy: -18.56 eV for the cell shown

Unit cell a=4.4211 b=4.4211 c=5.2509 alpha=81.67 beta=81.67 gamma=35.84
Closest atoms and distances in Å follow each position.
Fractional coordinates of all 4 atoms:
W: 0.2500 0.2500 0.2500  6 Be 2.42-2.53
Be: 0.9977 0.9977 0.0828  2 Be 2.23, 1 W 2.42
Be: 0.5023 0.5023 0.4172  2 Be 2.23, 1 W 2.42
Hg: 0.7500 0.7500 0.7500  2 Hg 2.72, 6 Be 2.88-2.92, 4 W 2.96

***

# 2
A geometry-optimized MnPt3N structure. Source: Alexandria, functional GGA-PBE.

Output
formation energy (no corrections): 2.200 eV per atom
space group: Pm-3m, No. 221

Unit cell a=4.5195 b=4.5195 c=4.5195 alpha=90.00 beta=90.00 gamma=90.00
Closest atoms and distances in Å follow each position.
Fractional coordinates of all 5 atoms:
Pt: 0.0000 0.0000 0.5000  2 Mn 2.26
Pt: 0.0000 0.5000 0.0000  2 Mn 2.26
Pt: 0.5000 0.0000 0.0000  2 Mn 2.26
Mn: 0.0000 0.0000 0.0000  6 Pt 2.26
N: 0.5000 0.5000 0.5000  12 Pt 3.20

***

# 3
A geometry-optimized Cu6NiRh2 structure. Source: Alexandria, functional GGA-PBE.

Output
space group: P-1, No. 2
electronic total energy: -89.59 eV for the cell shown

Unit cell a=11.1017 b=10.7690 c=15.6827 alpha=21.40 beta=19.31 gamma=30.69
Closest atoms and distances in Å follow each position.
Fractional coordinates of all 18 atoms:
Cu: 0.3383 0.0128 0.7382  7 Cu 2.53-2.67, 1 Ni 2.58, 4 Rh 2.61-2.64
Cu: 0.6616 0.9871 0.7618  7 Cu 2.53-2.67, 1 Ni 2.58, 4 Rh 2.61-2.64
Cu: 0.1049 0.6641 0.2582  7 Cu 2.52-2.67, 2 Ni 2.57-2.58, 3 Rh 2.61-2.65
Cu: 0.4520 0.6756 0.7378  8 Cu 2.52-2.63, 2 Ni 2.58-2.59, 2 Rh 2.60-2.66
Cu: 0.1049 0.6642 0.7582  7 Cu 2.52-2.67, 2 Ni 2.57-2.58, 3 Rh 2.61-2.65
Cu: 0.8951 0.3359 0.7418  7 Cu 2.52-2.67, 2 Ni 2.57-2.58, 3 Rh 2.61-2.65
Cu: 0.3384 0.0129 0.2382  7 Cu 2.53-2.67, 1 Ni 2.58, 4 Rh 2.61-2.64
Cu: 0.4520 0.6756 0.2378  8 Cu 2.52-2.63, 2 Ni 2.58-2.59, 2 Rh 2.60-2.66
Cu: 0.5480 0.3244 0.2622  8 Cu 2.52-2.63, 2 Ni 2.58-2.59, 2 Rh 2.60-2.66
Cu: 0.8951 0.3358 0.2418  7 Cu 2.52-2.67, 2 Ni 2.57-2.58, 3 Rh 2.61-2.65
Cu: 0.5480 0.3244 0.7622  8 Cu 2.52-2.63, 2 Ni 2.58-2.59, 2 Rh 2.60-2.66
Cu: 0.6617 0.9872 0.2618  7 Cu 2.53-2.67, 1 Ni 2.58, 4 Rh 2.61-2.64
Ni: 0.0000 0.0000 0.2500  10 Cu 2.57-2.59, 2 Rh 2.59
Ni: 0.0000 0.0000 0.7500  10 Cu 2.57-2.59, 2 Rh 2.59
Rh: 0.7822 0.6633 0.2480  2 Rh 2.58-2.60, 1 Ni 2.59, 9 Cu 2.60-2.66
Rh: 0.2178 0.3367 0.7520  2 Rh 2.58-2.60, 1 Ni 2.59, 9 Cu 2.60-2.66
Rh: 0.7821 0.6633 0.7480  2 Rh 2.58-2.60, 1 Ni 2.59, 9 Cu 2.60-2.66
Rh: 0.2179 0.3367 0.2520  2 Rh 2.58-2.60, 1 Ni 2.59, 9 Cu 2.60-2.66

***

# 4
A geometry-optimized InSbP2 structure. Source: Alexandria, functional GGA-PBE.

Output
formation energy (no corrections): 0.431 eV per atom
space group: Fm-3m, No. 225

Unit cell a=4.8727 b=4.8727 c=4.8727 alpha=60.00 beta=60.00 gamma=60.00
Closest atoms and distances in Å follow each position.
Fractional coordinates of all 4 atoms:
P: 0.7500 0.7500 0.7500  4 In 2.98, 4 Sb 2.98
P: 0.2500 0.2500 0.2500  4 In 2.98, 4 Sb 2.98
In: 0.0000 0.0000 0.0000  8 P 2.98
Sb: 0.5000 0.5000 0.5000  8 P 2.98

***

# 5
A geometry-optimized TlRe2 structure. Source: Alexandria, functional GGA-PBE.

Output
space group: I4/mcm, No. 140
electronic total energy: -46.06 eV for the cell shown

Unit cell a=5.3113 b=5.3113 c=5.3113 alpha=104.59 beta=104.59 gamma=119.76
Closest atoms and distances in Å follow each position.
Fractional coordinates of all 6 atoms:
Re: 0.3754 0.8754 0.2507  1 Re 2.29
Re: 0.6246 0.1246 0.7493  1 Re 2.29
Re: 0.8754 0.6246 0.5000  1 Re 2.29
Re: 0.1246 0.3754 0.5000  1 Re 2.29
Tl: 0.2500 0.2500 0.0000  2 Tl 2.67, 8 Re 2.89
Tl: 0.7500 0.7500 0.0000  2 Tl 2.67, 8 Re 2.89

***

# 6
A geometry-optimized Ac4Ni13C4 structure. Source: Alexandria, functional GGA-PBE.

Output
space group: Cmmm, No. 65
electronic total energy: -132.31 eV for the cell shown

Unit cell a=4.0531 b=8.6606 c=8.6606 alpha=90.15 beta=90.00 gamma=90.00
Closest atoms and distances in Å follow each position.
Fractional coordinates of all 21 atoms:
Ni: 0.5000 0.0631 0.7151  2 C 1.94-1.99
Ni: 0.0000 0.5000 0.0000  2 C 2.03
Ni: 0.5000 0.9369 0.2849  2 C 1.94-1.99
Ni: 0.5000 0.2091 0.4323  1 C 1.91
Ni: 0.5000 0.7909 0.5677  1 C 1.91
Ni: 0.5000 0.5677 0.7909  1 C 1.91
Ni: 0.5000 0.5000 0.5000  8 Ni 2.47-2.58
Ni: 0.0000 0.6161 0.6161  6 Ni 2.47-2.56, 3 Ac 2.74-2.77
Ni: 0.5000 0.7151 0.0631  2 C 1.94-1.99
Ni: 0.0000 0.0000 0.5000  2 C 2.03
Ni: 0.5000 0.4323 0.2091  1 C 1.91
Ni: 0.5000 0.2849 0.9369  2 C 1.94-1.99
Ni: 0.0000 0.3839 0.3839  6 Ni 2.47-2.56, 3 Ac 2.74-2.77
C: 0.5000 0.0557 0.9443  1 C 1.37
C: 0.5000 0.5000 0.0000  6 Ni 1.91-2.03
C: 0.5000 0.9443 0.0557  1 C 1.37
C: 0.5000 0.0000 0.5000  6 Ni 1.91-2.03
Ac: 0.0000 0.1599 0.1599  5 Ni 2.74-3.00, 4 C 2.90
Ac: 0.0000 0.3065 0.6935  6 Ni 2.77-2.93
Ac: 0.0000 0.6935 0.3065  6 Ni 2.77-2.93
Ac: 0.0000 0.8401 0.8401  5 Ni 2.74-3.00, 4 C 2.90

***

# 7
A geometry-optimized K2ZrAs structure. Source: Alexandria, functional GGA-PBE.

Output
space group: Cm, No. 8
electronic total energy: -15.74 eV for the cell shown

Unit cell a=4.7468 b=4.7468 c=10.0109 alpha=77.10 beta=77.10 gamma=52.69
Closest atoms and distances in Å follow each position.
Fractional coordinates of all 4 atoms:
K: 0.0630 0.0630 0.9171  2 As 3.65, 3 Zr 3.79-3.93
K: 0.2343 0.2343 0.3328  2 As 3.65, 3 Zr 3.80-3.93
As: 0.7572 0.7572 0.6249  3 Zr 2.65
Zr: 0.4455 0.4455 0.6251  3 As 2.65

***

# 8
A geometry-optimized KAcCd2 structure. Source: Alexandria, functional GGA-PBE.

Output
space group: P4/mmm, No. 123
electronic total energy: -7.52 eV for the cell shown

Unit cell a=3.9372 b=5.9444 c=5.9444 alpha=90.00 beta=90.00 gamma=90.00
Closest atoms and distances in Å follow each position.
Fractional coordinates of all 4 atoms:
Cd: 0.0000 0.0000 0.5000  4 Ac 3.57, 4 K 3.57, 2 Cd 3.94
Cd: 0.0000 0.5000 0.0000  4 Ac 3.57, 4 K 3.57, 2 Cd 3.94
Ac: 0.5000 0.5000 0.5000  8 Cd 3.57, 2 Ac 3.94
K: 0.5000 0.0000 0.0000  8 Cd 3.57, 2 K 3.94